# CrH2Cl4 | the Alexandria database | PBE-GGA | optimized geometry
data_CrH2Cl4
_chemical_formula_sum 'Cr1 H2 Cl4'
_cell_length_a 6.097
_cell_length_b 4.062
_cell_length_c 6.891
_cell_angle_alpha 90.00
_cell_angle_beta 103.37
_cell_angle_gamma 90.00
_space_group_name_H-M_alt 'P 1 2/m 1'
_space_group_IT_number 10
loop_
_space_group_symop_operation_xyz
'x,y,z'
'-x,-y,-z'
'-x,y,-z'
'x,-y,z'
loop_
_atom_site_label
_atom_site_type_symbol
_atom_site_fract_x
_atom_site_fract_y
_atom_site_fract_z
Cr1 Cr 0.000 0.000 0.000
H1 H 0.087 0.500 0.317
Cl1 Cl 0.206 0.000 0.762
Cl2 Cl 0.240 0.500 0.211
# E	-3.91	eV/atom



# Th4PSeS2 | the Alexandria database | PBE-GGA | optimized geometry
data_Th4PSeS2
_chemical_formula_sum 'Th4 P1 Se1 S2'
_cell_length_a 7.064
_cell_length_b 4.142
_cell_length_c 7.130
_cell_angle_alpha 90.00
_cell_angle_beta 109.82
_cell_angle_gamma 90.00
_space_group_name_H-M_alt 'P 1 2/m 1'
_space_group_IT_number 10
loop_
_space_group_symop_operation_xyz
'x,y,z'
'-x,-y,-z'
'-x,y,-z'
'x,-y,z'
loop_
_atom_site_label
_atom_site_type_symbol
_atom_site_fract_x
_atom_site_fract_y
_atom_site_fract_z
Th1 Th 0.239 0.000 0.237
Th2 Th 0.246 0.500 0.758
P1 P 0.500 0.000 0.000
Se1 Se 0.500 0.500 0.500
S1 S 0.000 0.000 0.500
S2 S 0.000 0.500 0.000
# E	-7.57	eV/atom



# Sm3TmCd | the Alexandria database | PBE-GGA | optimized geometry
data_Sm3TmCd
_chemical_formula_sum 'Sm24 Tm8 Cd8'
_cell_length_a 13.950
_cell_length_b 13.535
_cell_length_c 6.735
_cell_angle_alpha 90.00
_cell_angle_beta 98.97
_cell_angle_gamma 90.00
_space_group_name_H-M_alt 'C 1 2/c 1'
_space_group_IT_number 15
loop_
_space_group_symop_operation_xyz
'x,y,z'
'-x,-y,-z'
'-x,y,-z+1/2'
'x,-y,z+1/2'
'x+1/2,y+1/2,z'
'-x+1/2,-y+1/2,-z'
'-x+1/2,y+1/2,-z+1/2'
'x+1/2,-y+1/2,z+1/2'
loop_
_atom_site_label
_atom_site_type_symbol
_atom_site_fract_x
_atom_site_fract_y
_atom_site_fract_z
Sm1 Sm 0.102 0.073 0.110
Sm2 Sm 0.169 0.338 0.028
Sm3 Sm 0.193 0.419 0.531
Tm1 Tm 0.103 0.186 0.634
Cd1 Cd 0.000 0.290 0.250
Cd2 Cd 0.000 0.477 0.750
# E	-3.86	eV/atom
# energy above the most stable polymorph in this dataset	64	meV per atom
# energy relative to the elements	0.05	eV/atom



# PmMgZn | the Alexandria database | PBE-GGA | optimized geometry
data_PmMgZn
_chemical_formula_sum 'Pm2 Mg2 Zn2'
_cell_length_a 3.390
_cell_length_b 3.390
_cell_length_c 12.422
_cell_angle_alpha 90.00
_cell_angle_beta 90.00
_cell_angle_gamma 90.00
_space_group_name_H-M_alt 'I 4 m m'
_space_group_IT_number 107
_space_group_name_Hall 'I 4 -2'
loop_
_atom_site_label
_atom_site_type_symbol
_atom_site_fract_x
_atom_site_fract_y
_atom_site_fract_z
Pm1 Pm 0.000 0.000 0.000
Mg1 Mg 0.000 0.000 0.294
Zn1 Zn 0.000 0.000 0.663
# E	-2.69	eV/atom
# energy above the most stable polymorph in this dataset	113	meV per atom
# energy relative to the elements	-0.15	eV/atom



no.,density of states at the Fermi level (states/eV per atom)
1,0.023
2,0.649
3,1.545
4,1.168